Record 1
The following is a DFT calculation (PBE) of a geometry-optimized Ac2PrSbN2 structure.

The uncorrected formation energy comes out at -6.81 eV per formula unit. The calculation puts the size of the total moment at 0.0 μB/f.u.

The structure belongs to space group P2_1/m (No. 11); the cell edges are 7.4477, 6.1196 and 7.6800 Å and the angles 90.00°, 99.77° and 90.00°. Symmetry generates all atoms from Ac at (0.0877, 0.2500, 0.3922), Ac at (0.2674, 0.7500, 0.1326), Pr at (0.4356, 0.7500, 0.6132), Sb at (0.2180, 0.2500, 0.8497) and N at (0.3127, 0.5029, 0.3749).

***

Record 2
The following is a DFT calculation (PBE) of a geometry-optimized Sr2GePd3 structure.

For the formation enthalpy at 0 K, the calculation gives -0.574 eV/atom. The calculation puts the size of the total moment at 0.0 μB/f.u.

The structure belongs to space group Cmcm (No. 63); the cell edges are 12.3762, 8.9790 and 5.4066 Å and the angles 90.00°, 90.00° and 90.00°. Symmetry generates all atoms from Sr at (0.1549, 0.1766, 0.2500), Ge at (0.0000, 0.3495, 0.7500), Pd at (0.0000, 0.0798, 0.7500) and Pd at (0.1309, 0.5000, 0.0000).

***

Record 3
The following is a DFT calculation (PBE) of a geometry-optimized Pr6Te3Se2S structure.

The uncorrected formation energy comes out at -20.25 eV per formula unit. The calculation puts the size of the total moment at 0.0 μB/f.u.

The structure belongs to space group C2/m (No. 12); the cell edges are 7.5243, 13.0487 and 7.6727 Å and the angles 90.00°, 109.05° and 90.00°. Symmetry generates all atoms from Pr at (0.2297, 0.1587, 0.2133), Pr at (0.2451, 0.0000, 0.7824), Te at (0.0000, 0.1713, 0.5000), Te at (0.0000, 0.5000, 0.5000), Se at (0.0000, 0.3339, 0.0000) and S at (0.0000, 0.0000, 0.0000).